The following is a GGA-PBE calculation of Ac14NdSc after structural relaxation, from the Alexandria database.

Properties
Energy relative to the elements   0.67 eV per formula unit
Volume   1378.23 Å³/cell
Density   8.11 g/cm3

a = 11.1608 Å, b = 11.1122 Å, c = 11.1129 Å
α = 90.00°, β = 90.00°, γ = 90.00°
Space group Amm2 (No. 38)
One atom of each set of equivalent atoms:
Ac  0.0000  0.0000  0.0000 x2
Ac  0.0000  0.0000  0.4999 x2
Ac  0.0000  0.2493  0.2500 x4
Ac  0.2574  0.0000  0.7476 x4
Ac  0.2583  0.2474  0.5000 x8
Ac  0.2591  0.0000  0.2525 x4
Ac  0.5000  0.2491  0.7500 x4
Nd  0.5000  0.0000  0.9999 x2
Sc  0.5000  0.0000  0.5004 x2